1.
Entry from Alexandria: an optimized crystal structure of TaCrSi2 (PBE-GGA).

```
data_TaCrSi2
_chemical_formula_sum 'Ta2 Cr2 Si4'
_space_group_name_H-M_alt 'A m m 2'
_space_group_IT_number 38
_cell_length_a 3.675
_cell_length_b 3.469
_cell_length_c 9.103
_cell_angle_alpha 90.00
_cell_angle_beta 90.00
_cell_angle_gamma 90.00
loop_
_space_group_symop_operation_xyz
'x,y,z'
'-x,-y,z'
'-x,y,z'
'x,-y,z'
'x,y+1/2,z+1/2'
'-x,-y+1/2,z+1/2'
'-x,y+1/2,z+1/2'
'x,-y+1/2,z+1/2'
loop_
_atom_site_label
_atom_site_fract_x
_atom_site_fract_y
_atom_site_fract_z
Ta1 0.000 0.000 0.000
Cr1 0.500 0.000 0.723
Si1 0.000 0.000 0.274
Si2 0.500 0.000 0.444
```

Results
- crystal system = orthorhombic
- uncorrected formation energy (eV per formula unit) = -0.884



2.
Entry from Alexandria: an optimized crystal structure of NaCdIn2Br4 (PBE-GGA).

```
data_NaCdIn2Br4
_chemical_formula_sum 'Na1 Cd1 In2 Br4'
_space_group_name_H-M_alt 'P 1'
_space_group_IT_number 1
_cell_length_a 6.683
_cell_length_b 6.718
_cell_length_c 7.256
_cell_angle_alpha 108.55
_cell_angle_beta 113.61
_cell_angle_gamma 101.87
loop_
_space_group_symop_operation_xyz
'x,y,z'
loop_
_atom_site_label
_atom_site_fract_x
_atom_site_fract_y
_atom_site_fract_z
Na1 0.000 0.000 0.000
Cd1 0.194 0.688 0.510
In1 0.493 0.492 0.990
In2 0.833 0.331 0.502
Br1 0.183 0.087 0.462
Br2 0.449 0.004 0.015
Br3 0.634 0.720 0.539
Br4 0.992 0.435 0.995
```

Results
- crystal system = triclinic
- uncorrected formation energy (eV per formula unit) = -6.135



3.
Entry from Alexandria: an optimized crystal structure of NaLiCuF6 (PBE-GGA).

```
data_NaLiCuF6
_chemical_formula_sum 'Na1 Li1 Cu1 F6'
_space_group_name_H-M_alt 'P 3 1 2'
_space_group_IT_number 149
_cell_length_a 5.1130
_cell_length_b 5.1130
_cell_length_c 4.9558
_cell_angle_alpha 90.00
_cell_angle_beta 90.00
_cell_angle_gamma 120.00
loop_
_space_group_symop_operation_xyz
'x,y,z'
'-y,x-y,z'
'-x+y,-x,z'
'-y,-x,-z'
'-x+y,y,-z'
'x,x-y,-z'
loop_
_atom_site_label
_atom_site_fract_x
_atom_site_fract_y
_atom_site_fract_z
Na1 0.0000 0.0000 0.0000
Li1 0.3333 0.6667 0.5000
Cu1 0.6667 0.3333 0.5000
F1 0.3768 0.0246 0.7125
```

Results
- crystal system = trigonal
- uncorrected formation energy (eV per formula unit) = -17.378



4.
Entry from Alexandria: an optimized crystal structure of Rb2TlBr6N (PBE-GGA).

```
data_Rb2TlBr6N
_chemical_formula_sum 'Rb4 Tl2 Br12 N2'
_space_group_name_H-M_alt 'I 4/m m m'
_space_group_IT_number 139
_space_group_name_Hall '-I 4 2'
_cell_length_a 7.634
_cell_length_b 7.634
_cell_length_c 10.803
_cell_angle_alpha 90.00
_cell_angle_beta 90.00
_cell_angle_gamma 90.00
loop_
_atom_site_label
_atom_site_fract_x
_atom_site_fract_y
_atom_site_fract_z
Rb1 0.000 0.500 0.250
Tl1 0.000 0.000 0.000
Br1 0.000 0.000 0.267
Br2 0.224 0.224 0.500
N1 0.000 0.000 0.500
```

Results
- crystal system = tetragonal
- uncorrected formation energy (eV per formula unit) = -4.295



5.
Entry from Alexandria: an optimized crystal structure of Cu2ReC2 (PBE-GGA).

```
data_Cu2ReC2
_chemical_formula_sum 'Cu4 Re2 C4'
_space_group_name_H-M_alt 'P 4/m b m'
_space_group_IT_number 127
_space_group_name_Hall '-P 4 2ab'
_cell_length_a 5.729
_cell_length_b 5.729
_cell_length_c 3.106
_cell_angle_alpha 90.00
_cell_angle_beta 90.00
_cell_angle_gamma 90.00
loop_
_atom_site_label
_atom_site_fract_x
_atom_site_fract_y
_atom_site_fract_z
Cu1 0.147 0.353 0.000
Re1 0.000 0.000 0.500
C1 0.173 0.673 0.500
```

Results
- crystal system = tetragonal
- energy relative to the elements (eV per atom) = 0.97
- excess energy over the best structure of this formula in the dataset (eV/atom) = 0.000



6.
Entry from Alexandria: an optimized crystal structure of Tm3Sc2Cd (PBE-GGA).

```
data_Tm3Sc2Cd
_chemical_formula_sum 'Tm12 Sc8 Cd4'
_space_group_name_H-M_alt 'C 1 2/c 1'
_space_group_IT_number 15
_cell_length_a 16.367
_cell_length_b 6.379
_cell_length_c 6.313
_cell_angle_alpha 90.00
_cell_angle_beta 101.38
_cell_angle_gamma 90.00
loop_
_space_group_symop_operation_xyz
'x,y,z'
'-x,-y,-z'
'-x,y,-z+1/2'
'x,-y,z+1/2'
'x+1/2,y+1/2,z'
'-x+1/2,-y+1/2,-z'
'-x+1/2,y+1/2,-z+1/2'
'x+1/2,-y+1/2,z+1/2'
loop_
_atom_site_label
_atom_site_fract_x
_atom_site_fract_y
_atom_site_fract_z
Tm1 0.000 0.227 0.250
Tm2 0.168 0.093 0.023
Sc1 0.157 0.420 0.610
Cd1 0.000 0.276 0.750
```

Results
- crystal system = monoclinic
- energy relative to the elements (eV per atom) = -0.01
- excess energy over the best structure of this formula in the dataset (eV/atom) = 0.060



Calculated total energy list, top to bottom, in eV/atom: -8.302; -2.567; -3.993; -2.696; -6.848; -4.510
M_tot list, top to bottom, in μB/f.u.: 2.206; 0.000; 1.001; 0.000; 0.000; 0.001
V list, top to bottom, in Å³ per atom: 14.51; 32.67; 12.47; 31.48; 10.20; 26.92